1.
DFT (GGA-PBE) results for ErTmNi10 after structural relaxation.

a b c (Å): 3.9567 4.8524 8.3880
angles (deg): 90.00 90.00 90.00
With the nearest neighbours (Å) after each atom.
Fractional coordinates of all 12 atoms:
Ni 0.5000 0.5000 0.0000  8 Ni 2.43
Ni 0.0000 0.5000 0.8328  6 Ni 2.42-2.43
Ni 0.0000 0.5000 0.1672  6 Ni 2.42-2.43
Tm 0.0000 0.5000 0.5000  14 Ni 2.79-3.12
Ni 0.5000 0.7498 0.2504  8 Ni 2.42-2.43
Ni 0.0000 0.0000 0.6660  6 Ni 2.42
Er 0.0000 0.0000 0.0000  18 Ni 2.80-3.13
Ni 0.5000 0.7498 0.7496  8 Ni 2.42-2.43
Ni 0.5000 0.0000 0.5000  8 Ni 2.42
Ni 0.0000 0.0000 0.3340  6 Ni 2.42
Ni 0.5000 0.2502 0.2504  8 Ni 2.42-2.43
Ni 0.5000 0.2502 0.7496  8 Ni 2.42-2.43

- DFT formation energy (eV per atom) = -0.34
- ρ (g cm⁻³) = 9.52
- calculated total energy (eV per atom) = -5.91
- crystal system = orthorhombic

***

2.
DFT (GGA-PBE) results for Er3TmNi2 after structural relaxation.

a b c (Å): 4.0357 8.1837 9.9700
angles (deg): 74.32 78.32 75.73
With the nearest neighbours (Å) after each atom.
Fractional coordinates of all 12 atoms:
Tm 0.4366 0.4399 0.6870  3 Ni 2.67-2.68
Ni 0.8739 0.3806 0.8716  2 Tm 2.67, 4 Er 2.68-2.69
Er 0.6853 0.6886 0.9408  3 Ni 2.68-2.69
Er 0.1892 0.1856 0.4361  3 Ni 2.68-2.69
Ni 0.3762 0.8702 0.3775  1 Tm 2.68, 5 Er 2.68-2.69
Ni 0.1261 0.6194 0.1284  2 Tm 2.67, 4 Er 2.68-2.69
Ni 0.6238 0.1298 0.6225  1 Tm 2.68, 5 Er 2.68-2.69
Er 0.8108 0.8144 0.5639  3 Ni 2.68-2.69
Er 0.3147 0.3114 0.0592  3 Ni 2.68-2.69
Er 0.0611 0.0674 0.8104  3 Ni 2.69
Tm 0.5634 0.5601 0.3130  3 Ni 2.67-2.68
Er 0.9389 0.9326 0.1896  3 Ni 2.69

- DFT formation energy (eV per atom) = -0.22
- ρ (g cm⁻³) = 8.61
- calculated total energy (eV per atom) = -5.17
- crystal system = monoclinic
- polymorph energy (0 for the lowest one) (eV per atom) = 0.098

***

3.
DFT (GGA-PBE) results for Er5TmNi2 after structural relaxation.

a b c (Å): 3.7898 8.7058 8.7058
angles (deg): 48.71 77.43 77.43
With the nearest neighbours (Å) after each atom.
Fractional coordinates of all 8 atoms:
Ni 0.8036 0.6964 0.6964  6 Er 2.70-2.89
Er 0.6552 0.0918 0.5977  3 Ni 2.70-2.89
Ni 0.1964 0.3036 0.3036  6 Er 2.70-2.89
Er 0.6552 0.5977 0.0918  3 Ni 2.70-2.89
Er 0.3448 0.4023 0.9082  3 Ni 2.70-2.89
Er 0.0000 0.5000 0.5000  2 Ni 3.02
Er 0.3448 0.9082 0.4023  3 Ni 2.70-2.89
Tm 0.0000 0.0000 0.0000  10 Er 3.53-3.59, 2 Tm 3.79

- DFT formation energy (eV per atom) = -0.14
- ρ (g cm⁻³) = 8.90
- calculated total energy (eV per atom) = -5.00
- crystal system = orthorhombic

***

4.
DFT (GGA-PBE) results for Er2Tm6Ni after structural relaxation.

a b c (Å): 3.5161 8.9505 9.4798
angles (deg): 118.17 90.00 90.00
With the nearest neighbours (Å) after each atom.
Fractional coordinates of all 9 atoms:
Ni 0.0000 0.0000 0.0000  8 Tm 2.79-3.12
Tm 0.0000 0.6663 0.6743  4 Tm 3.06-3.30, 1 Ni 3.12
Er 0.5000 0.6744 0.3488  10 Tm 3.44-3.72, 2 Er 3.52
Tm 0.5000 0.2420 0.0000  2 Ni 2.79
Tm 0.0000 0.9919 0.3257  4 Tm 3.06-3.30, 1 Ni 3.12
Er 0.5000 0.3256 0.6512  10 Tm 3.44-3.72, 2 Er 3.52
Tm 0.0000 0.3337 0.3257  4 Tm 3.06-3.30, 1 Ni 3.12
Tm 0.0000 0.0081 0.6743  4 Tm 3.06-3.30, 1 Ni 3.12
Tm 0.5000 0.7580 0.0000  2 Ni 2.79

- DFT formation energy (eV per atom) = 0.11
- ρ (g cm⁻³) = 8.88
- calculated total energy (eV per atom) = -4.52
- crystal system = orthorhombic

***

5.
DFT (GGA-PBE) results for Er4TmNi2 after structural relaxation.

a b c (Å): 3.8738 3.8738 14.4475
angles (deg): 82.30 82.30 60.00
With the nearest neighbours (Å) after each atom.
Fractional coordinates of all 7 atoms:
Ni 0.5992 0.5992 0.2025  6 Er 2.67-2.68
Er 0.2998 0.2998 0.1005  3 Ni 2.67
Tm 0.5000 0.5000 0.5000  6 Er 3.56, 6 Tm 3.87
Er 0.7002 0.7002 0.8995  3 Ni 2.67
Er 0.1019 0.1019 0.6944  3 Ni 2.68
Ni 0.4008 0.4008 0.7975  6 Er 2.67-2.68
Er 0.8981 0.8981 0.3056  3 Ni 2.68

- DFT formation energy (eV per atom) = -0.14
- ρ (g cm⁻³) = 8.55
- calculated total energy (eV per atom) = -5.04
- crystal system = trigonal
- polymorph energy (0 for the lowest one) (eV per atom) = 0.030

***

6.
DFT (GGA-PBE) results for ErTmNi2 after structural relaxation.

a b c (Å): 3.7034 4.1398 5.3682
angles (deg): 90.00 110.26 90.00
With the nearest neighbours (Å) after each atom.
Fractional coordinates of all 4 atoms:
Er 0.4429 0.5000 0.4240  7 Ni 2.83-2.89
Ni 0.1554 0.5000 0.8503  2 Ni 2.53, 2 Er 2.83-2.84
Tm 0.7221 0.0000 0.9837  7 Ni 2.82-2.90
Ni 0.0106 0.0000 0.5599  2 Ni 2.53, 2 Tm 2.82-2.83

- DFT formation energy (eV per atom) = -0.50
- ρ (g cm⁻³) = 9.75
- calculated total energy (eV per atom) = -5.65
- crystal system = monoclinic
- polymorph energy (0 for the lowest one) (eV per atom) = 0.000

***

no.,M_tot (μB per cell)
1,2.88
2,0.00
3,0.00
4,0.00
5,0.00
6,0.00